Model w:
Here is a PBEsol-optimized structure of Sr2La2MgRu3O12 from Alexandria via LeMat-Bulk. Energies are from meta-GGA SCAN.

- Symmetry: P1 (1)
- Total magnetic moment: 0.3000 μB per atom

abc: 5.5345 5.5620 7.8341
angles: 89.73 89.99 89.97
Element x y z (fractional)
Sr1 0.0000 0.0000 0.0000
Sr2 0.4958 0.4337 0.4895
La1 0.4875 0.5028 0.0012
La2 0.9815 0.9234 0.4874
Mg1 0.9929 0.4619 0.2445
Ru1 0.4915 0.9674 0.7448
Ru2 0.4934 0.9666 0.2443
Ru3 0.9915 0.4660 0.7450
O1 0.0520 0.4830 0.5002
O2 0.2078 0.7484 0.7838
O3 0.2190 0.7498 0.2137
O4 0.2851 0.2596 0.7846
O5 0.2884 0.2497 0.2068
O6 0.4150 0.9731 0.4927
O7 0.5590 0.9504 0.9963
O8 0.7073 0.6820 0.7067
O9 0.7090 0.6909 0.2776
O10 0.7760 0.1719 0.2820
O11 0.7860 0.1744 0.7042
O12 0.9164 0.4558 0.9898

Model x:
Here is a PBEsol-optimized structure of Sr2La2MgRu3O12 from Alexandria via LeMat-Bulk. Energies are from meta-GGA SCAN.

- Symmetry: P2_1/c (14)
- Total magnetic moment: 0.3000 μB per atom

abc: 15.7658 5.5090 5.5406
angles: 90.00 90.21 90.00
Element x y z (fractional)
Sr1 0.1237 0.0056 0.0326
Sr2 0.1237 0.4944 0.5326
Sr3 0.8763 0.5056 0.4674
Sr4 0.8763 0.9944 0.9674
La1 0.3833 0.5081 0.4636
La2 0.3833 0.9919 0.9636
La3 0.6167 0.0081 0.0364
La4 0.6167 0.4919 0.5364
Mg1 0.5000 0.0000 0.5000
Mg2 0.5000 0.5000 0.0000
Ru1 0.0000 0.0000 0.5000
Ru2 0.0000 0.5000 0.0000
Ru3 0.2482 0.0041 0.5028
Ru4 0.2482 0.4959 0.0028
Ru5 0.7518 0.5041 0.9972
Ru6 0.7518 0.9959 0.4972
O1 0.0167 0.2180 0.7816
O2 0.0167 0.2820 0.2816
O3 0.1234 0.5623 0.9935
O4 0.1234 0.9377 0.4935
O5 0.2321 0.2140 0.7870
O6 0.2321 0.2860 0.2870
O7 0.2709 0.7154 0.7183
O8 0.2709 0.7846 0.2183
O9 0.3699 0.0685 0.5145
O10 0.3699 0.4315 0.0145
O11 0.4842 0.6976 0.6970
O12 0.4842 0.8024 0.1970
O13 0.5158 0.1976 0.8030
O14 0.5158 0.3024 0.3030
O15 0.6301 0.5685 0.9855
O16 0.6301 0.9315 0.4855
O17 0.7291 0.2154 0.7817
O18 0.7291 0.2846 0.2817
O19 0.7679 0.7140 0.7130
O20 0.7679 0.7860 0.2130
O21 0.8766 0.0623 0.5065
O22 0.8766 0.4377 0.0065
O23 0.9833 0.7180 0.7184
O24 0.9833 0.7820 0.2184

model w is favored, and the nearest alternative lies 16 meV per atom above it.

Model w:
Here is a PBEsol-optimized structure of La3MgOs from Alexandria via LeMat-Bulk. Energies are from meta-GGA SCAN.

- Symmetry: Pm-3m (221)
- Total magnetic moment: 0.0034 μB per atom

abc: 5.5451 5.5451 5.5451
angles: 90.00 90.00 90.00
Element x y z (fractional)
La1 0.0000 0.0000 0.5000
La2 0.0000 0.5000 0.0000
La3 0.5000 0.0000 0.0000
Mg1 0.5000 0.5000 0.5000
Os1 0.0000 0.0000 0.0000

Model x:
Here is a PBEsol-optimized structure of La3MgOs from Alexandria via LeMat-Bulk. Energies are from meta-GGA SCAN.

- Symmetry: Cm (8)
- Total magnetic moment: 0.0000 μB per atom

abc: 6.8323 6.8323 6.3203
angles: 102.55 102.55 93.05
Element x y z (fractional)
La1 0.0000 0.0000 0.0000
La2 0.2258 0.7966 0.5103
La3 0.3242 0.3242 0.6047
La4 0.4855 0.8698 0.0862
La5 0.7966 0.2258 0.5103
La6 0.8698 0.4855 0.0862
Mg1 0.3847 0.3847 0.1183
Mg2 0.7133 0.7133 0.5803
Os1 0.0955 0.5974 0.8111
Os2 0.5974 0.0955 0.8111

model x is favored, and the nearest alternative lies 18 meV per atom above it.